1.
TaSnB4 | PBE | relaxed

Cell: 4.877 4.877 4.877 Å, 143.39 112.65 79.17°
Atoms (fractional coordinates):
Ta  0.000  0.000  0.000
Sn  0.500  0.500  0.000
B  0.085  0.750  0.335
B  0.414  0.750  0.665
B  0.586  0.250  0.335
B  0.915  0.250  0.665

Properties
* calculated density: 9.14 g/cm3
* volume: 10.38 Å³/atom
* final energy: -6.902 eV per atom

2.
TaSnB | PBE | relaxed

Cell: 4.365 4.365 4.365 Å, 60.00 60.00 60.00°
Atoms (fractional coordinates):
Ta  0.000  0.000  0.000
Sn  0.250  0.250  0.250
B  0.750  0.750  0.750

Properties
* calculated density: 8.76 g/cm3
* volume: 19.61 Å³/atom
* final energy: -6.149 eV per atom

3.
TaSnB | PBE | relaxed

Cell: 4.105 4.105 4.105 Å, 60.00 60.00 60.00°
Atoms (fractional coordinates):
Ta  0.000  0.000  0.000
Sn  0.500  0.500  0.500
B  0.750  0.750  0.750

Properties
* calculated density: 10.54 g/cm3
* volume: 16.30 Å³/atom
* final energy: -6.672 eV per atom

4.
Ta2SnB | PBE | relaxed

Cell: 3.276 3.276 14.084 Å, 90.00 90.00 120.00°
Atoms (fractional coordinates):
Ta  0.333  0.667  0.087
Ta  0.333  0.667  0.413
Ta  0.667  0.333  0.587
Ta  0.667  0.333  0.913
Sn  0.333  0.667  0.750
Sn  0.667  0.333  0.250
B  0.000  0.000  0.000
B  0.000  0.000  0.500

Properties
* calculated density: 12.47 g/cm3
* volume: 16.36 Å³/atom
* final energy: -8.993 eV per atom

> What is the final energy in the first record?

-6.902 eV per atom

> The lowest calculated density belongs to which entry?

number 2

> calculated density of number 3 (TaSnB)?

10.54 g/cm3